# 1
Density functional theory data (PBE) for a relaxed PmAlCuPt crystal.

Summary:
**Electronic total energy**: -21.0 eV/f.u.
**Total magnetic moment**: 0.00 μB per formula unit

Cell: 4.729 4.729 4.729 Å, 60.00 60.00 60.00°
Fractional positions:
Pm  0.000  0.000  0.000
Al  0.500  0.500  0.500
Cu  0.750  0.750  0.750
Pt  0.250  0.250  0.250


# 2
Density functional theory data (PBE) for a relaxed PmAl4Cu2Rh crystal.

Summary:
**Electronic total energy**: -39.2 eV/f.u.
**Total magnetic moment**: 0.00 μB per formula unit

Cell: 9.318 9.318 9.318 Å, 25.99 25.99 25.99°
Fractional positions:
Pm  0.000  0.000  0.000
Al  0.132  0.132  0.132
Al  0.406  0.406  0.406
Al  0.594  0.594  0.594
Al  0.868  0.868  0.868
Cu  0.235  0.235  0.235
Cu  0.765  0.765  0.765
Rh  0.500  0.500  0.500


# 3
Density functional theory data (PBE) for a relaxed PmAl3CuRh crystal.

Summary:
**Electronic total energy**: -30.1 eV/f.u.
**Total magnetic moment**: 0.00 μB per formula unit

Cell: 6.980 6.980 5.642 Å, 90.00 90.00 125.61°
Fractional positions:
Pm  0.223  0.777  0.750
Pm  0.777  0.223  0.250
Al  0.200  0.200  0.000
Al  0.200  0.200  0.500
Al  0.358  0.642  0.250
Al  0.642  0.358  0.750
Al  0.800  0.800  0.000
Al  0.800  0.800  0.500
Cu  0.146  0.854  0.250
Cu  0.854  0.146  0.750
Rh  0.440  0.560  0.750
Rh  0.560  0.440  0.250


# 4
Density functional theory data (PBE) for a relaxed Pm2Al4CuRh3 crystal.

Summary:
**Electronic total energy**: -58.1 eV/f.u.
**Total magnetic moment**: 0.00 μB per formula unit

Cell: 4.245 4.245 10.259 Å, 90.00 90.00 90.00°
Fractional positions:
Pm  0.000  0.500  0.245
Pm  0.500  0.000  0.755
Al  0.000  0.000  0.500
Al  0.000  0.500  0.876
Al  0.500  0.000  0.124
Al  0.500  0.500  0.500
Cu  0.500  0.500  0.000
Rh  0.000  0.000  0.000
Rh  0.000  0.500  0.632
Rh  0.500  0.000  0.368


# 5
Density functional theory data (PBE) for a relaxed PmAlCuRu crystal.

Summary:
**Electronic total energy**: -22.6 eV/f.u.
**Total magnetic moment**: 0.00 μB per formula unit

Cell: 4.650 4.650 4.650 Å, 60.00 60.00 60.00°
Fractional positions:
Pm  0.000  0.000  0.000
Al  0.500  0.500  0.500
Cu  0.250  0.250  0.250
Ru  0.750  0.750  0.750


# 6
Density functional theory data (PBE) for a relaxed PmAlCu2S4 crystal.

Summary:
**Electronic total energy**: -41.2 eV/f.u.
**Total magnetic moment**: 0.00 μB per formula unit

Cell: 5.865 5.865 5.865 Å, 114.46 112.44 101.79°
Fractional positions:
Pm  0.000  0.000  0.000
Al  0.500  0.500  0.000
Cu  0.317  0.817  0.500
Cu  0.683  0.183  0.500
S  0.126  0.118  0.595
S  0.477  0.882  0.008
S  0.523  0.532  0.405
S  0.874  0.468  0.992


# 7
Density functional theory data (PBE) for a relaxed PmSc2AlCu4 crystal.

Summary:
**Electronic total energy**: -39.6 eV/f.u.
**Total magnetic moment**: 0.00 μB per formula unit

Cell: 8.719 8.719 8.719 Å, 29.75 29.75 29.75°
Fractional positions:
Pm  0.000  0.000  0.000
Sc  0.237  0.237  0.237
Sc  0.763  0.763  0.763
Al  0.500  0.500  0.500
Cu  0.125  0.125  0.125
Cu  0.400  0.400  0.400
Cu  0.600  0.600  0.600
Cu  0.875  0.875  0.875


# 8
Density functional theory data (PBE) for a relaxed Pm2AlCuSe5 crystal.

Summary:
**Electronic total energy**: -46.5 eV/f.u.
**Total magnetic moment**: 0.00 μB per formula unit

Cell: 9.271 9.271 11.554 Å, 90.00 90.00 154.64°
Fractional positions:
Pm  0.111  0.889  0.500
Pm  0.121  0.879  0.121
Pm  0.879  0.121  0.621
Pm  0.889  0.111  0.000
Al  0.407  0.593  0.292
Al  0.593  0.407  0.792
Cu  0.256  0.744  0.940
Cu  0.744  0.256  0.440
Se  0.041  0.959  0.882
Se  0.306  0.694  0.150
Se  0.312  0.688  0.459
Se  0.359  0.641  0.814
Se  0.492  0.508  0.115
Se  0.508  0.492  0.615
Se  0.641  0.359  0.314
Se  0.688  0.312  0.959
Se  0.694  0.306  0.650
Se  0.959  0.041  0.382


# 9
Density functional theory data (PBE) for a relaxed PmAl2Cu2Si crystal.

Summary:
**Electronic total energy**: -26.5 eV/f.u.
**Total magnetic moment**: 0.00 μB per formula unit

Cell: 4.461 4.461 5.578 Å, 90.00 90.00 90.00°
Fractional positions:
Pm  0.000  0.000  0.000
Al  0.500  0.500  0.235
Al  0.500  0.500  0.765
Cu  0.000  0.500  0.500
Cu  0.500  0.000  0.500
Si  0.000  0.000  0.500


# 10
Density functional theory data (PBE) for a relaxed PmAl2Cu4Si crystal.

Summary:
**Electronic total energy**: -35.8 eV/f.u.
**Total magnetic moment**: 0.00 μB per formula unit

Cell: 8.953 8.953 8.953 Å, 26.72 26.72 26.72°
Fractional positions:
Pm  0.000  0.000  0.000
Al  0.246  0.246  0.246
Al  0.754  0.754  0.754
Cu  0.132  0.132  0.132
Cu  0.408  0.408  0.408
Cu  0.592  0.592  0.592
Cu  0.868  0.868  0.868
Si  0.500  0.500  0.500